Entry 1:
# CsMgZnHg2

A relaxed structure of CsMgZnHg2 (PBE, the Alexandria database).

Computed properties:
Calculated formation energy: -0.07 eV/f.u.
E_tot: -0.879 eV/atom
Space-group type: No. 123

Cell: 5.5726 5.5726 5.2864 Å, 90.00 90.00 90.00°
Last column: nearest neighbours and their distance in Å.
Atoms (fractional coordinates):
Cs  0.5000  0.5000  0.5000  8 Hg 3.84, 4 Mg 3.94
Zn  0.0000  0.0000  0.0000  2 Mg 2.64, 4 Hg 2.79
Mg  0.0000  0.0000  0.5000  2 Zn 2.64
Hg  0.0000  0.5000  0.0000  2 Zn 2.79
Hg  0.5000  0.0000  0.0000  2 Zn 2.79


Entry 2:
# Tb2RuPb

A relaxed structure of Tb2RuPb (PBE, the Alexandria database).

Computed properties:
Calculated formation energy: -1.04 eV/f.u.
E_tot: -5.821 eV/atom
Space-group type: No. 225

Cell: 5.1403 5.1403 5.1403 Å, 60.00 60.00 60.00°
Last column: nearest neighbours and their distance in Å.
Atoms (fractional coordinates):
Pb  0.0000  0.0000  0.0000  8 Tb 3.15
Ru  0.5000  0.5000  0.5000  8 Tb 3.15
Tb  0.2500  0.2500  0.2500  4 Pb 3.15, 4 Ru 3.15
Tb  0.7500  0.7500  0.7500  4 Ru 3.15, 4 Pb 3.15